## 1
{
  "formula": "AgPtW2",
  "functional": "PBE",
  "state": "optimized geometry",
  "lattice_angstrom": [[-2.8641, -5.3694, 4.1386], [6.3836, -0.6238, 3.6085], [0.9394, -1.2012, 5.6352]],
  "species": ["Ag", "Ag", "W", "W", "W", "W", "Pt", "Pt"],
  "fractional_positions": [[0.5000, 0.5000, 0.0000], [0.2500, 0.7500, 0.5000], [0.6513, 0.1250, 0.2500], [0.0987, 0.6250, 0.2500], [0.3750, 0.3487, 0.7500], [0.8750, 0.9013, 0.7500], [0.0000, 0.0000, 0.0000], [0.7500, 0.2500, 0.5000]],
  "sg": "I-42d, No. 122",
  "rho_g_cm3": 15.5,
  "magnetic_moment_mub_per_cell": 0.000
}

## 2
{
  "formula": "AgPtW2",
  "functional": "PBE",
  "state": "optimized geometry",
  "lattice_angstrom": [[4.8573, -0.0036, -0.0041], [1.4668, 4.6305, 0.0041], [-3.1585, -2.3183, 2.8710]],
  "species": ["Ag", "W", "W", "Pt"],
  "fractional_positions": [[0.5000, 0.5000, 0.0000], [0.9998, 0.9998, 0.0000], [0.7501, 0.2501, 0.5000], [0.2500, 0.7500, 0.5000]],
  "sg": "I-4m2, No. 119",
  "rho_g_cm3": 17.2,
  "magnetic_moment_mub_per_cell": 0.000
}

Which structure is the most stable? The one labeled 2.